# 1
# BaCa3Re, PBEsol geometry, DFT meta-GGA SCAN
data_BaCa3Re
_chemical_formula_sum 'Ba1 Ca3 Re1'
_space_group_name_H-M_alt 'P m -3 m'
_space_group_IT_number 221
_space_group_name_Hall '-P 4 2 3'
_cell_length_a 5.523
_cell_length_b 5.523
_cell_length_c 5.523
_cell_angle_alpha 90.00
_cell_angle_beta 90.00
_cell_angle_gamma 90.00
loop_
_atom_site_label
_atom_site_fract_x
_atom_site_fract_y
_atom_site_fract_z
Ba1 0.000 0.000 0.000
Ca1 0.000 0.000 0.500
Re1 0.500 0.500 0.500
# energy of formation from the pure elements = 991 kJ/mol of formula units
# ρ = 4.37 Mg/m³

=====

# 2
# As2SeBr, PBEsol geometry, DFT meta-GGA SCAN
data_As2SeBr
_chemical_formula_sum 'As4 Se2 Br2'
_space_group_name_H-M_alt 'I m m m'
_space_group_IT_number 71
_space_group_name_Hall '-I 2 2'
_cell_length_a 3.379
_cell_length_b 6.107
_cell_length_c 8.491
_cell_angle_alpha 90.00
_cell_angle_beta 90.00
_cell_angle_gamma 90.00
loop_
_atom_site_label
_atom_site_fract_x
_atom_site_fract_y
_atom_site_fract_z
As1 0.000 0.000 0.232
Se1 0.000 0.500 0.500
Br1 0.000 0.500 0.000
# energy above the most stable polymorph in this dataset = 0.00 eV/f.u.
# formation energy from raw total energies = 0.415 eV per atom
# ρ = 5.85 Mg/m³

=====

# 3
# SiP, PBEsol geometry, DFT meta-GGA SCAN
data_SiP
_chemical_formula_sum 'Si2 P2'
_space_group_name_H-M_alt 'P 63/m m c'
_space_group_IT_number 194
_space_group_name_Hall '-P 6c 2c'
_cell_length_a 4.0891
_cell_length_b 4.0891
_cell_length_c 4.8775
_cell_angle_alpha 90.00
_cell_angle_beta 90.00
_cell_angle_gamma 120.00
loop_
_atom_site_label
_atom_site_fract_x
_atom_site_fract_y
_atom_site_fract_z
Si1 0.3333 0.6667 0.2500
P1 0.3333 0.6667 0.7500
# formation energy from raw total energies = 0.078 eV per atom
# ρ = 2.78 Mg/m³

=====

# 4
# Sc2MnReGe, PBEsol geometry, DFT meta-GGA SCAN
data_Sc2MnReGe
_chemical_formula_sum 'Sc2 Mn1 Re1 Ge1'
_space_group_name_H-M_alt 'P 4/m m m'
_space_group_IT_number 123
_space_group_name_Hall '-P 4 2'
_cell_length_a 4.843
_cell_length_b 4.843
_cell_length_c 4.242
_cell_angle_alpha 90.00
_cell_angle_beta 90.00
_cell_angle_gamma 90.00
loop_
_atom_site_label
_atom_site_fract_x
_atom_site_fract_y
_atom_site_fract_z
Sc1 0.000 0.500 0.000
Mn1 0.000 0.000 0.500
Re1 0.500 0.500 0.500
Ge1 0.000 0.000 0.000
# energy of formation from the pure elements = 358 kJ/mol of formula units
# ρ = 6.74 Mg/m³

=====

# 5
# Cr2CoSnF, PBEsol geometry, DFT meta-GGA SCAN
data_Cr2CoSnF
_chemical_formula_sum 'Cr2 Co1 Sn1 F1'
_space_group_name_H-M_alt 'P 4/m m m'
_space_group_IT_number 123
_space_group_name_Hall '-P 4 2'
_cell_length_a 4.231
_cell_length_b 4.231
_cell_length_c 4.091
_cell_angle_alpha 90.00
_cell_angle_beta 90.00
_cell_angle_gamma 90.00
loop_
_atom_site_label
_atom_site_fract_x
_atom_site_fract_y
_atom_site_fract_z
Cr1 0.000 0.500 0.000
Co1 0.000 0.000 0.500
Sn1 0.500 0.500 0.500
F1 0.000 0.000 0.000
# formation energy from raw total energies = -0.178 eV per atom
# ρ = 6.82 Mg/m³

=====

# 6
# Al2GaIr, PBEsol geometry, DFT meta-GGA SCAN
data_Al2GaIr
_chemical_formula_sum 'Al8 Ga4 Ir4'
_space_group_name_H-M_alt 'I -4 2 d'
_space_group_IT_number 122
_space_group_name_Hall 'I -4 2bw'
_cell_length_a 7.916
_cell_length_b 7.916
_cell_length_c 4.837
_cell_angle_alpha 90.00
_cell_angle_beta 90.00
_cell_angle_gamma 90.00
loop_
_atom_site_label
_atom_site_fract_x
_atom_site_fract_y
_atom_site_fract_z
Al1 0.163 0.750 0.125
Ga1 0.000 0.000 0.500
Ir1 0.000 0.000 0.000
# energy of formation from the pure elements = -71 kJ/mol of formula units
# ρ = 6.92 Mg/m³

=====

# 7
# CsSnF3, PBEsol geometry, DFT meta-GGA SCAN
data_CsSnF3
_chemical_formula_sum 'Cs6 Sn6 F18'
_space_group_name_H-M_alt 'R 3 c'
_space_group_IT_number 161
_space_group_name_Hall 'R 3 -2"c'
_cell_length_a 6.9732
_cell_length_b 6.9732
_cell_length_c 15.4760
_cell_angle_alpha 90.00
_cell_angle_beta 90.00
_cell_angle_gamma 120.00
loop_
_atom_site_label
_atom_site_fract_x
_atom_site_fract_y
_atom_site_fract_z
Cs1 0.0000 0.0000 0.0000
Sn1 0.0000 0.0000 0.2521
F1 0.1310 0.4045 0.3347
# formation energy from raw total energies = -2.602 eV per atom
# ρ = 4.72 Mg/m³

=====

# 8
# Ta2AlCdBi, PBEsol geometry, DFT meta-GGA SCAN
data_Ta2AlCdBi
_chemical_formula_sum 'Ta2 Al1 Cd1 Bi1'
_space_group_name_H-M_alt 'P 4/m m m'
_space_group_IT_number 123
_space_group_name_Hall '-P 4 2'
_cell_length_a 5.030
_cell_length_b 5.030
_cell_length_c 5.341
_cell_angle_alpha 90.00
_cell_angle_beta 90.00
_cell_angle_gamma 90.00
loop_
_atom_site_label
_atom_site_fract_x
_atom_site_fract_y
_atom_site_fract_z
Ta1 0.000 0.500 0.000
Al1 0.000 0.000 0.500
Cd1 0.500 0.500 0.000
Bi1 0.500 0.500 0.500
# energy of formation from the pure elements = 1015 kJ/mol of formula units
# ρ = 8.73 Mg/m³

=====

# 9
# La2AgO2, PBEsol geometry, DFT meta-GGA SCAN
data_La2AgO2
_chemical_formula_sum 'La4 Ag2 O4'
_space_group_name_H-M_alt 'I 4/m m m'
_space_group_IT_number 139
_space_group_name_Hall '-I 4 2'
_cell_length_a 4.080
_cell_length_b 4.080
_cell_length_c 12.697
_cell_angle_alpha 90.00
_cell_angle_beta 90.00
_cell_angle_gamma 90.00
loop_
_atom_site_label
_atom_site_fract_x
_atom_site_fract_y
_atom_site_fract_z
La1 0.000 0.000 0.157
Ag1 0.000 0.000 0.500
O1 0.000 0.500 0.250
# formation energy from raw total energies = -2.617 eV per atom
# ρ = 6.56 Mg/m³

=====

# 10
# TiAlFe2, PBEsol geometry, DFT meta-GGA SCAN
data_TiAlFe2
_chemical_formula_sum 'Ti1 Al1 Fe2'
_space_group_name_H-M_alt 'P 4/m m m'
_space_group_IT_number 123
_space_group_name_Hall '-P 4 2'
_cell_length_a 2.891
_cell_length_b 2.891
_cell_length_c 5.716
_cell_angle_alpha 90.00
_cell_angle_beta 90.00
_cell_angle_gamma 90.00
loop_
_atom_site_label
_atom_site_fract_x
_atom_site_fract_y
_atom_site_fract_z
Ti1 0.000 0.000 0.000
Al1 0.000 0.000 0.500
Fe1 0.500 0.500 0.251
# energy of formation from the pure elements = -135 kJ/mol of formula units
# ρ = 6.49 Mg/m³

=====

# 11
# KHf2Zr, PBEsol geometry, DFT meta-GGA SCAN
data_KHf2Zr
_chemical_formula_sum 'K4 Hf8 Zr4'
_space_group_name_H-M_alt 'F m -3 m'
_space_group_IT_number 225
_space_group_name_Hall '-F 4 2 3'
_cell_length_a 7.250
_cell_length_b 7.250
_cell_length_c 7.250
_cell_angle_alpha 90.00
_cell_angle_beta 90.00
_cell_angle_gamma 90.00
loop_
_atom_site_label
_atom_site_fract_x
_atom_site_fract_y
_atom_site_fract_z
K1 0.000 0.000 0.000
Hf1 0.250 0.250 0.250
Zr1 0.000 0.000 0.500
# energy of formation from the pure elements = 429 kJ/mol of formula units
# ρ = 8.49 Mg/m³

=====

# 12
# AlRhBr2, PBEsol geometry, DFT meta-GGA SCAN
data_AlRhBr2
_chemical_formula_sum 'Al1 Rh1 Br2'
_space_group_name_H-M_alt 'P 4/m m m'
_space_group_IT_number 123
_space_group_name_Hall '-P 4 2'
_cell_length_a 4.753
_cell_length_b 4.753
_cell_length_c 3.268
_cell_angle_alpha 90.00
_cell_angle_beta 90.00
_cell_angle_gamma 90.00
loop_
_atom_site_label
_atom_site_fract_x
_atom_site_fract_y
_atom_site_fract_z
Al1 0.000 0.000 0.000
Rh1 0.500 0.500 0.000
Br1 0.000 0.500 0.500
# energy above the most stable polymorph in this dataset = 1.21 eV/f.u.
# formation energy from raw total energies = 0.508 eV per atom
# ρ = 6.52 Mg/m³

=====

# 13
# Hf2PCO, PBEsol geometry, DFT meta-GGA SCAN
data_Hf2PCO
_chemical_formula_sum 'Hf2 P1 C1 O1'
_space_group_name_H-M_alt 'P 4/m m m'
_space_group_IT_number 123
_space_group_name_Hall '-P 4 2'
_cell_length_a 4.430
_cell_length_b 4.430
_cell_length_c 3.499
_cell_angle_alpha 90.00
_cell_angle_beta 90.00
_cell_angle_gamma 90.00
loop_
_atom_site_label
_atom_site_fract_x
_atom_site_fract_y
_atom_site_fract_z
Hf1 0.000 0.500 0.000
P1 0.000 0.000 0.500
C1 0.500 0.500 0.000
O1 0.500 0.500 0.500
# formation energy from raw total energies = -0.379 eV per atom
# ρ = 10.06 Mg/m³

=====

# 14
# Y2Zn17, PBEsol geometry, DFT meta-GGA SCAN
data_Y2Zn17
_chemical_formula_sum 'Y6 Zn51'
_space_group_name_H-M_alt 'R -3 m'
_space_group_IT_number 166
_space_group_name_Hall '-R 3 2"'
_cell_length_a 8.8038
_cell_length_b 8.8038
_cell_length_c 12.8755
_cell_angle_alpha 90.00
_cell_angle_beta 90.00
_cell_angle_gamma 120.00
loop_
_atom_site_label
_atom_site_fract_x
_atom_site_fract_y
_atom_site_fract_z
Y1 0.0000 0.0000 0.1643
Zn1 0.0000 0.0000 0.4004
Zn2 0.0000 0.2967 0.5000
Zn3 0.0000 0.5000 0.0000
Zn4 0.0084 0.5042 0.6526
# energy of formation from the pure elements = -574 kJ/mol of formula units
# ρ = 7.43 Mg/m³

=====

# 15
# Nd4Er11S22, PBEsol geometry, DFT meta-GGA SCAN
data_Nd4Er11S22
_chemical_formula_sum 'Nd8 Er22 S44'
_space_group_name_H-M_alt 'C 1 2/m 1'
_space_group_IT_number 12
_space_group_name_Hall '-C 2y'
_cell_length_a 38.441
_cell_length_b 3.876
_cell_length_c 11.185
_cell_angle_alpha 90.00
_cell_angle_beta 91.71
_cell_angle_gamma 90.00
loop_
_atom_site_label
_atom_site_fract_x
_atom_site_fract_y
_atom_site_fract_z
Nd1 0.105 0.000 0.012
Nd2 0.132 0.500 0.649
Er1 0.000 0.000 0.000
Er2 0.038 0.500 0.731
Er3 0.071 0.000 0.359
Er4 0.158 0.500 0.300
Er5 0.202 0.000 0.941
Er6 0.235 0.500 0.648
S1 0.008 0.000 0.240
S2 0.047 0.500 0.971
S3 0.059 0.500 0.510
S4 0.088 0.000 0.755
S5 0.093 0.500 0.210
S6 0.136 0.000 0.452
S7 0.150 0.500 0.906
S8 0.169 0.000 0.149
S9 0.188 0.000 0.690
S10 0.220 0.500 0.409
S11 0.246 0.500 0.880
# formation energy from raw total energies = -2.385 eV per atom
# ρ = 6.22 Mg/m³

=====

# 16
# Rb2Sc2S, PBEsol geometry, DFT meta-GGA SCAN
data_Rb2Sc2S
_chemical_formula_sum 'Rb4 Sc4 S2'
_space_group_name_H-M_alt 'I 4/m m m'
_space_group_IT_number 139
_space_group_name_Hall '-I 4 2'
_cell_length_a 4.051
_cell_length_b 4.051
_cell_length_c 22.723
_cell_angle_alpha 90.00
_cell_angle_beta 90.00
_cell_angle_gamma 90.00
loop_
_atom_site_label
_atom_site_fract_x
_atom_site_fract_y
_atom_site_fract_z
Rb1 0.000 0.000 0.074
Sc1 0.000 0.500 0.250
S1 0.000 0.000 0.500
# formation energy from raw total energies = 0.027 eV per atom
# ρ = 2.61 Mg/m³

=====

# 17
# LiPtC2, PBEsol geometry, DFT meta-GGA SCAN
data_LiPtC2
_chemical_formula_sum 'Li4 Pt4 C8'
_space_group_name_H-M_alt 'I -4 2 d'
_space_group_IT_number 122
_space_group_name_Hall 'I -4 2bw'
_cell_length_a 4.919
_cell_length_b 4.919
_cell_length_c 9.024
_cell_angle_alpha 90.00
_cell_angle_beta 90.00
_cell_angle_gamma 90.00
loop_
_atom_site_label
_atom_site_fract_x
_atom_site_fract_y
_atom_site_fract_z
Li1 0.000 0.000 0.000
Pt1 0.000 0.000 0.500
C1 0.194 0.250 0.625
# energy of formation from the pure elements = 409 kJ/mol of formula units
# ρ = 6.88 Mg/m³

=====

# 18
# FeRu2Au, PBEsol geometry, DFT meta-GGA SCAN
data_FeRu2Au
_chemical_formula_sum 'Fe2 Ru4 Au2'
_space_group_name_H-M_alt 'C 1 2/m 1'
_space_group_IT_number 12
_space_group_name_Hall '-C 2y'
_cell_length_a 5.277
_cell_length_b 9.123
_cell_length_c 2.646
_cell_angle_alpha 90.00
_cell_angle_beta 117.82
_cell_angle_gamma 90.00
loop_
_atom_site_label
_atom_site_fract_x
_atom_site_fract_y
_atom_site_fract_z
Fe1 0.000 0.000 0.000
Ru1 0.250 0.250 0.500
Au1 0.000 0.500 0.000
# energy above the most stable polymorph in this dataset = 0.64 eV/f.u.
# energy of formation from the pure elements = 133 kJ/mol of formula units
# ρ = 13.41 Mg/m³

=====

# 19
# Co2RuPb, PBEsol geometry, DFT meta-GGA SCAN
data_Co2RuPb
_chemical_formula_sum 'Co2 Ru1 Pb1'
_space_group_name_H-M_alt 'P 4 m m'
_space_group_IT_number 99
_space_group_name_Hall 'P 4 -2'
_cell_length_a 3.033
_cell_length_b 3.033
_cell_length_c 6.216
_cell_angle_alpha 90.00
_cell_angle_beta 90.00
_cell_angle_gamma 90.00
loop_
_atom_site_label
_atom_site_fract_x
_atom_site_fract_y
_atom_site_fract_z
Co1 0.000 0.000 0.000
Co2 0.500 0.500 0.190
Ru1 0.500 0.500 0.776
Pb1 0.000 0.000 0.474
# energy of formation from the pure elements = 187 kJ/mol of formula units
# ρ = 12.37 Mg/m³

=====

# 20
# Zn2TeIr, PBEsol geometry, DFT meta-GGA SCAN
data_Zn2TeIr
_chemical_formula_sum 'Zn4 Te2 Ir2'
_space_group_name_H-M_alt 'I m m m'
_space_group_IT_number 71
_space_group_name_Hall '-I 2 2'
_cell_length_a 3.185
_cell_length_b 4.781
_cell_length_c 8.865
_cell_angle_alpha 90.00
_cell_angle_beta 90.00
_cell_angle_gamma 90.00
loop_
_atom_site_label
_atom_site_fract_x
_atom_site_fract_y
_atom_site_fract_z
Zn1 0.000 0.000 0.231
Te1 0.000 0.500 0.000
Ir1 0.000 0.500 0.500
# formation energy from raw total energies = 0.234 eV per atom
# ρ = 11.09 Mg/m³